Material: SrSc2Al
Method: DFT, PBE
State: optimized geometry

Cell and atoms, written as extended XYZ:
```
8
Lattice="5.2734 0.0000 0.0000 0.0000 5.2734 0.0000 2.6367 2.6367 10.3199" Properties=species:S:1:pos:R:3 pbc="T T T"
Sc 2.6331 1.3184 2.5800
Sc 2.6403 3.9551 2.5800
Sc 3.9551 5.2770 7.7399
Sc 6.5918 5.2698 7.7399
Sr 0.0000 0.0000 0.0000
Sr 5.2734 2.6367 5.1599
Al 2.6367 2.6367 0.0000
Al 2.6367 5.2734 5.1599
```

ΔH_f (0 K), eV/f.u.: 2.39
Symmetry: No. 141

***

Material: CuReS3
Method: DFT, PBE
State: optimized geometry

Cell and atoms, written as extended XYZ:
```
10
Lattice="-1.8985 2.3906 1.0914 -4.2456 -6.7832 2.6576 6.4320 2.7959 5.0643" Properties=species:S:1:pos:R:3 pbc="T T T"
Cu 1.1795 1.7100 3.1214
Cu -0.8916 -3.3066 5.6919
Re -3.5253 -2.0367 3.1441
Re 3.8133 0.4401 5.6692
S -1.8704 -1.4764 4.7955
S 2.5366 -1.1280 6.8831
S 4.7315 1.9645 3.9273
S 2.1583 -0.1203 4.0178
S -4.4435 -3.5612 4.8860
S -2.2486 -0.4686 1.9302
```

Distance to the lowest polymorph of the same formula, eV/atom: 0.000
Symmetry: No. 12
Formation energy without anion corrections, eV per atom: -0.1699

***

The records above yield total energy values of -3.92, -5.96 eV/atom, respectively.